{
  "formula": "ThGaNi2H",
  "functional": "GGA-PBE",
  "state": "optimized geometry",
  "cell": [[2.035, -5.315, 0.000], [2.035, 5.315, 0.000], [0.000, 0.000, 6.606]],
  "species": ["Th", "Th", "Ga", "Ga", "Ni", "Ni", "Ni", "Ni", "H", "H"],
  "frac_coords": [[0.084, 0.916, 0.750], [0.916, 0.084, 0.250], [0.202, 0.798, 0.250], [0.798, 0.202, 0.750], [0.342, 0.658, 0.552], [0.342, 0.658, 0.948], [0.658, 0.342, 0.052], [0.658, 0.342, 0.448], [0.500, 0.500, 0.000], [0.500, 0.500, 0.500]],
  "spacegroup": "Cmcm (63)",
  "final_energy_ev_per_cell": -55.90,
  "n_ef_per_ev_fu": 2.1
}